Material: Ba3EuSe
Method: DFT, PBE
State: optimized geometry

## Properties
* space-group type: Pm-3m (221)
* total energy: -4.571 eV/atom
* Fermi-level density of states: 7.0 states/eV/f.u.

a = 6.475 Å, b = 6.475 Å, c = 6.475 Å
α = 90.00°, β = 90.00°, γ = 90.00°
Site moments in Bohr magnetons follow the coordinates.
Sites, in units of the cell vectors:
Se1 0.000 0.000 0.000  0.00
Eu1 0.500 0.500 0.500  7.00
Ba1 0.000 0.500 0.000  0.07
Ba2 0.500 0.000 0.000  0.07
Ba3 0.000 0.000 0.500  0.07